# NaAsPbO5 PBE-GGA relaxed
# Formation energy (no corrections): -1.26 eV/atom
# Mass density: 5.539 g cm⁻³
data_NaAsPbO5
_chemical_formula_sum 'Na4 As4 Pb4 O20'
_cell_length_a 7.1776
_cell_length_b 9.3710
_cell_length_c 7.5212
_cell_angle_alpha 90.00
_cell_angle_beta 114.09
_cell_angle_gamma 90.00
_symmetry_space_group_name_H-M 'C 1 2/c 1'
_symmetry_Int_Tables_number 15
loop_
_symmetry_equiv_pos_as_xyz
'x,y,z'
'-x,-y,-z'
'-x,y,-z+1/2'
'x,-y,z+1/2'
'x+1/2,y+1/2,z'
'-x+1/2,-y+1/2,-z'
'-x+1/2,y+1/2,-z+1/2'
'x+1/2,-y+1/2,z+1/2'
loop_
_atom_site_label
_atom_site_fract_x
_atom_site_fract_y
_atom_site_fract_z
Na1 0.0000 0.1620 0.2500
As1 0.0000 0.1792 0.7500
Pb1 0.0000 0.5000 0.0000
O1 0.0000 0.4052 0.2500
O2 0.1170 0.2833 0.6350
O3 0.1706 0.0658 0.9203



# Na3AsPd3O8 PBE-GGA relaxed
# Formation energy (no corrections): -1.03 eV/atom
# Mass density: 5.006 g cm⁻³
data_Na3AsPd3O8
_chemical_formula_sum 'Na6 As2 Pd6 O16'
_cell_length_a 12.0334
_cell_length_b 5.9266
_cell_length_c 6.2454
_cell_angle_alpha 90.00
_cell_angle_beta 118.30
_cell_angle_gamma 90.00
_symmetry_space_group_name_H-M 'C 1 2/m 1'
_symmetry_Int_Tables_number 12
loop_
_symmetry_equiv_pos_as_xyz
'x,y,z'
'-x,-y,-z'
'-x,y,-z'
'x,-y,z'
'x+1/2,y+1/2,z'
'-x+1/2,-y+1/2,-z'
'-x+1/2,y+1/2,-z'
'x+1/2,-y+1/2,z'
loop_
_atom_site_label
_atom_site_fract_x
_atom_site_fract_y
_atom_site_fract_z
Na1 0.0000 0.0000 0.0000
Na2 0.2500 0.2500 0.5000
As1 0.0000 0.0000 0.5000
Pd1 0.0000 0.5000 0.5000
Pd2 0.2500 0.2500 0.0000
O1 0.0330 0.2270 0.3343
O2 0.1825 0.0000 0.7381
O3 0.1936 0.5000 0.7472